i.
# CdPt2Cl

CdPt2Cl after structural relaxation (PBEsol, Alexandria via LeMat-Bulk).

Its density of states at the Fermi level is 7.033 states/eV/cell.

The structure belongs to space group Imm2 (No. 44); the cell edges are 2.8713, 5.3033 and 9.2041 Å and the angles 90.00°, 90.00° and 90.00°. The asymmetric unit holds Cd at (0.0000, 0.0000, 0.0000), Pt at (0.0000, 0.0000, 0.5010), Pt at (0.0000, 0.5000, 0.2371) and Cl at (0.0000, 0.5000, 0.7813).

***

ii.
# CdPt2Cl

CdPt2Cl after structural relaxation (PBEsol, Alexandria via LeMat-Bulk).

Its density of states at the Fermi level is 3.878 states/eV/cell.

The structure belongs to space group Pmmm (No. 47); the cell edges are 2.8825, 4.0369 and 5.7046 Å and the angles 90.00°, 90.00° and 90.00°. The asymmetric unit holds Cd at (0.0000, 0.0000, 0.0000), Pt at (0.5000, 0.5000, 0.2459) and Cl at (0.0000, 0.0000, 0.5000).

***

Which structure wins on stability? ii wins.

***

i.
# Cd2PtCl

Cd2PtCl after structural relaxation (PBEsol, Alexandria via LeMat-Bulk).

Its density of states at the Fermi level is 1.411 states/eV/cell.

The structure belongs to space group Immm (No. 71); the cell edges are 3.2559, 6.2666 and 8.4186 Å and the angles 90.00°, 90.00° and 90.00°. The asymmetric unit holds Cd at (0.0000, 0.0000, 0.2494), Pt at (0.0000, 0.5000, 0.0000) and Cl at (0.0000, 0.5000, 0.5000).

***

ii.
# Cd2PtCl

Cd2PtCl after structural relaxation (PBEsol, Alexandria via LeMat-Bulk).

Its density of states at the Fermi level is 2.483 states/eV/cell.

The structure belongs to space group I-4m2 (No. 119); the cell edges are 3.8537, 3.8537 and 10.4206 Å and the angles 90.00°, 90.00° and 90.00°. The asymmetric unit holds Cd at (0.0000, 0.0000, 0.0000), Cd at (0.0000, 0.5000, 0.2500), Pt at (0.0000, 0.5000, 0.7500) and Cl at (0.0000, 0.0000, 0.5000).

***

Which structure wins on stability? ii wins.

***

i.
# CdRe2Cl

CdRe2Cl after structural relaxation (PBEsol, Alexandria via LeMat-Bulk).

Its density of states at the Fermi level is 7.602 states/eV/cell.

The structure belongs to space group Cmmm (No. 65); the cell edges are 2.7524, 4.9390 and 9.3946 Å and the angles 90.00°, 90.00° and 90.00°. The asymmetric unit holds Cd at (0.0000, 0.0000, 0.0000), Re at (0.0000, 0.5000, 0.2653) and Cl at (0.0000, 0.0000, 0.5000).

***

ii.
# CdRe2Cl

CdRe2Cl after structural relaxation (PBEsol, Alexandria via LeMat-Bulk).

Its density of states at the Fermi level is 3.340 states/eV/cell.

The structure belongs to space group Pmmm (No. 47); the cell edges are 2.7741, 4.7757 and 4.9471 Å and the angles 90.00°, 90.00° and 90.00°. The asymmetric unit holds Cd at (0.0000, 0.0000, 0.0000), Re at (0.0000, 0.5000, 0.5000), Re at (0.5000, 0.0000, 0.5000) and Cl at (0.5000, 0.5000, 0.0000).

***

iii.
# CdRe2Cl

CdRe2Cl after structural relaxation (PBEsol, Alexandria via LeMat-Bulk).

Its density of states at the Fermi level is 8.064 states/eV/cell.

The structure belongs to space group R3m (No. 160, hexagonal axes); the cell edges are 2.8578, 2.8578 and 29.2385 Å and the angles 90.00°, 90.00° and 120.00°. The asymmetric unit holds Cd at (0.0000, 0.0000, 0.0000), Re at (0.0000, 0.0000, 0.4888), Re at (0.0000, 0.0000, 0.7521) and Cl at (0.0000, 0.0000, 0.2208).

***

iv.
# CdRe2Cl

CdRe2Cl after structural relaxation (PBEsol, Alexandria via LeMat-Bulk).

Its density of states at the Fermi level is 3.467 states/eV/cell.

The structure belongs to space group P4mm (No. 99); the cell edges are 2.9235, 2.9235 and 8.1239 Å and the angles 90.00°, 90.00° and 90.00°. The asymmetric unit holds Cd at (0.0000, 0.0000, 0.0000), Re at (0.0000, 0.0000, 0.5571), Re at (0.5000, 0.5000, 0.7480) and Cl at (0.5000, 0.5000, 0.3328).

***

Which structure wins on stability? iii wins.